(1)
The following is a DFT calculation (PBE-GGA) of a geometry-optimized Ba3Ca2CeO8 structure.

Total moment ... 2.1 μB/f.u.
Theoretical density ... 4.6 g cm⁻³
Formation energy without anion corrections ... -3264 kJ/mol of formula units
DOS(E_F) ... 16.68 states/eV/f.u.
V ... 273.8 Å³ per cell

a b c (Å): 6.2975 6.2975 7.9728
angles (deg): 90.00 90.00 120.00
Space group P-3m1 (No. 164)
Symmetry-distinct sites (fractional):
1 Ba 0.0000 0.0000 0.0000
2 Ba 0.3333 0.6667 0.6212
3 Ca 0.3333 0.6667 0.1862
4 Ce 0.0000 0.0000 0.5000
5 O 0.1605 0.3211 0.3295
6 O 0.3333 0.6667 0.9211

---

(2)
The following is a DFT calculation (PBE-GGA) of a geometry-optimized Ba2CaCeO5 structure.

Total moment ... 0.1 μB/f.u.
Theoretical density ... 5.3 g cm⁻³
Formation energy without anion corrections ... -2487 kJ/mol of formula units
DOS(E_F) ... 0.00 states/eV/f.u.
V ... 665.2 Å³ per cell

a b c (Å): 3.834 14.562 11.914
angles (deg): 90.00 90.00 90.00
Space group Cmc2_1 (No. 36)
Symmetry-distinct sites (fractional):
1 Ba 0.000 0.103 0.000
2 Ba 0.000 0.150 0.593
3 Ca 0.000 0.229 0.330
4 Ce 0.000 0.463 0.776
5 O 0.000 0.064 0.363
6 O 0.000 0.275 0.964
7 O 0.000 0.319 0.709
8 O 0.000 0.390 0.328
9 O 0.000 0.492 0.105